1.
The following is a DFT calculation (PBE) of a relaxed structure of LiTlNiSn.

Cell: 4.783 4.783 4.783 Å, 60.00 60.00 60.00°
Fractional positions:
Li: 0.000 0.000 0.000
Tl: 0.250 0.250 0.250
Ni: 0.750 0.750 0.750
Sn: 0.500 0.500 0.500

Computed properties:
- space-group type = F-43m, No. 216
- ΔE to the lowest computed polymorph (meV/atom) = 205.3

---

2.
The following is a DFT calculation (PBE) of a relaxed structure of Ni11As8.

Cell: 6.882 6.882 21.866 Å, 90.00 90.00 90.00°
Fractional positions:
Ni: 0.065 0.121 0.329
Ni: 0.071 0.627 0.328
Ni: 0.121 0.065 0.671
Ni: 0.122 0.690 0.671
Ni: 0.123 0.123 0.000
Ni: 0.123 0.626 0.982
Ni: 0.126 0.377 0.732
Ni: 0.127 0.429 0.078
Ni: 0.127 0.818 0.079
Ni: 0.182 0.873 0.421
Ni: 0.190 0.378 0.421
Ni: 0.310 0.878 0.829
Ni: 0.318 0.373 0.829
Ni: 0.373 0.318 0.171
Ni: 0.373 0.929 0.172
Ni: 0.374 0.877 0.518
Ni: 0.377 0.126 0.268
Ni: 0.377 0.623 0.250
Ni: 0.378 0.190 0.579
Ni: 0.379 0.565 0.579
Ni: 0.429 0.127 0.922
Ni: 0.435 0.621 0.921
Ni: 0.565 0.379 0.421
Ni: 0.571 0.873 0.422
Ni: 0.621 0.435 0.079
Ni: 0.622 0.810 0.079
Ni: 0.623 0.377 0.750
Ni: 0.623 0.874 0.768
Ni: 0.626 0.123 0.018
Ni: 0.627 0.071 0.672
Ni: 0.627 0.682 0.671
Ni: 0.682 0.627 0.329
Ni: 0.690 0.122 0.329
Ni: 0.810 0.622 0.921
Ni: 0.818 0.127 0.921
Ni: 0.873 0.182 0.579
Ni: 0.873 0.571 0.578
Ni: 0.874 0.623 0.232
Ni: 0.877 0.374 0.482
Ni: 0.877 0.877 0.500
Ni: 0.878 0.310 0.171
Ni: 0.879 0.935 0.171
Ni: 0.929 0.373 0.828
Ni: 0.935 0.879 0.829
As: 0.121 0.879 0.250
As: 0.122 0.369 0.250
As: 0.123 0.124 0.879
As: 0.123 0.625 0.874
As: 0.124 0.123 0.121
As: 0.125 0.377 0.624
As: 0.131 0.131 0.500
As: 0.131 0.622 0.500
As: 0.369 0.122 0.750
As: 0.369 0.631 0.750
As: 0.375 0.877 0.626
As: 0.376 0.623 0.129
As: 0.377 0.125 0.376
As: 0.377 0.624 0.371
As: 0.378 0.869 0.000
As: 0.379 0.379 0.000
As: 0.621 0.621 0.500
As: 0.622 0.131 0.500
As: 0.623 0.376 0.871
As: 0.623 0.875 0.876
As: 0.624 0.377 0.629
As: 0.625 0.123 0.126
As: 0.631 0.369 0.250
As: 0.631 0.878 0.250
As: 0.869 0.378 0.000
As: 0.869 0.869 0.000
As: 0.875 0.623 0.124
As: 0.876 0.877 0.621
As: 0.877 0.375 0.374
As: 0.877 0.876 0.379
As: 0.878 0.631 0.750
As: 0.879 0.121 0.750

Computed properties:
- space-group type = P4_12_12, No. 92

---

3.
The following is a DFT calculation (PBE) of a relaxed structure of TmBe.

Cell: 4.325 4.325 4.325 Å, 60.00 60.00 60.00°
Fractional positions:
Tm: 0.000 0.000 0.000
Be: 0.250 0.250 0.250

Computed properties:
- space-group type = F-43m, No. 216
- ΔE to the lowest computed polymorph (meV/atom) = 762.6

---

4.
The following is a DFT calculation (PBE) of a relaxed structure of Cu7Ag3.

Cell: 7.167 7.167 4.610 Å, 95.67 95.67 142.45°
Fractional positions:
Cu: 0.000 0.000 0.000
Cu: 0.217 0.783 0.000
Cu: 0.413 0.587 0.000
Cu: 0.507 0.493 0.500
Cu: 0.717 0.283 0.500
Cu: 0.814 0.186 0.000
Cu: 0.911 0.089 0.500
Ag: 0.107 0.893 0.500
Ag: 0.314 0.686 0.500
Ag: 0.612 0.388 0.000

Computed properties:
- space-group type = C2, No. 5
- ΔE to the lowest computed polymorph (meV/atom) = 44.1
- DFT formation energy (eV per formula unit) = 0.89

---

5.
The following is a DFT calculation (PBE) of a relaxed structure of GdSbN2O.

Cell: 5.498 5.617 5.967 Å, 91.77 115.87 119.28°
Fractional positions:
Gd: 0.000 0.000 0.000
Gd: 0.462 0.733 0.205
Sb: 0.055 0.546 0.563
Sb: 0.431 0.213 0.645
N: 0.221 0.396 0.385
N: 0.503 0.928 0.837
N: 0.910 0.563 0.831
N: 0.977 0.819 0.366
O: 0.283 0.342 0.861
O: 0.570 0.162 0.366

Computed properties:
- space-group type = P1, No. 1

---

6.
The following is a DFT calculation (PBE) of a relaxed structure of YCoBiOs.

Cell: 4.726 4.726 4.726 Å, 60.00 60.00 60.00°
Fractional positions:
Y: 0.000 0.000 0.000
Co: 0.750 0.750 0.750
Bi: 0.500 0.500 0.500
Os: 0.250 0.250 0.250

Computed properties:
- space-group type = F-43m, No. 216
- ΔE to the lowest computed polymorph (meV/atom) = 0.0

---

Number 1: energy -13.33 eV per cell. Number 2: energy -418.06 eV per cell. Number 3: energy -5.73 eV per cell. Number 4: energy -33.60 eV per cell. Number 5: energy -70.29 eV per cell. Number 6: energy -28.02 eV per cell.